# PBE Fe2SBr, relaxed
data_Fe2SBr
_space_group_name_H-M_alt 'I -4 2 d'
_space_group_IT_number 122
_space_group_name_Hall 'I -4 2bw'
_cell_length_a 5.211
_cell_length_b 5.211
_cell_length_c 10.389
_cell_angle_alpha 90.00
_cell_angle_beta 90.00
_cell_angle_gamma 90.00
loop_
_atom_site_label
_atom_site_fract_x
_atom_site_fract_y
_atom_site_fract_z
_atom_site_occupancy
Fe1 0.203 0.250 0.125 1
S1 0.000 0.000 0.000 1
Br1 0.000 0.000 0.500 1
# Formation energy (no corrections) = 0.1568 eV per atom
# Theoretical density = 5.266 g/cm3
# Total DFT energy (no corrections) = -5.525 eV per atom
# Distance to the lowest polymorph of the same formula = 0 meV per atom



# PBE FeS2Br, relaxed
data_FeS2Br
_space_group_name_H-M_alt 'I -4 2 d'
_space_group_IT_number 122
_space_group_name_Hall 'I -4 2bw'
_cell_length_a 6.127
_cell_length_b 6.127
_cell_length_c 9.241
_cell_angle_alpha 90.00
_cell_angle_beta 90.00
_cell_angle_gamma 90.00
loop_
_atom_site_label
_atom_site_fract_x
_atom_site_fract_y
_atom_site_fract_z
_atom_site_occupancy
Fe1 0.000 0.000 0.000 1
S1 0.131 0.250 0.125 1
Br1 0.000 0.000 0.500 1
# Formation energy (no corrections) = 0.0074 eV per atom
# Theoretical density = 3.827 g/cm3
# Total DFT energy (no corrections) = -4.590 eV per atom
# Distance to the lowest polymorph of the same formula = 163 meV per atom



# PBE FeS5Br, relaxed
data_FeS5Br
_space_group_name_H-M_alt 'C 1 2 1'
_space_group_IT_number 5
_cell_length_a 6.486
_cell_length_b 15.666
_cell_length_c 4.600
_cell_angle_alpha 90.00
_cell_angle_beta 121.70
_cell_angle_gamma 90.00
loop_
_space_group_symop_operation_xyz
'x,y,z'
'-x,y,-z'
'x+1/2,y+1/2,z'
'-x+1/2,y+1/2,-z'
loop_
_atom_site_label
_atom_site_fract_x
_atom_site_fract_y
_atom_site_fract_z
_atom_site_occupancy
Fe1 0.000 0.000 0.000 1
S1 0.000 0.856 0.000 1
S2 0.098 0.526 0.756 1
S3 0.124 0.772 0.753 1
Br1 0.000 0.059 0.500 1
# Formation energy (no corrections) = 0.0493 eV per atom
# Theoretical density = 2.473 g/cm3
# Total DFT energy (no corrections) = -4.347 eV per atom